# Dy2ErPd (GGA-PBE, optimized geometry)
data_Dy2ErPd
_chemical_formula_sum 'Dy2 Er1 Pd1'
_space_group_name_H-M_alt 'P 4/m m m'
_space_group_IT_number 123
_space_group_name_Hall '-P 4 2'
_cell_length_a 3.574
_cell_length_b 3.574
_cell_length_c 8.336
_cell_angle_alpha 90.00
_cell_angle_beta 90.00
_cell_angle_gamma 90.00
loop_
_atom_site_label
_atom_site_type_symbol
_atom_site_fract_x
_atom_site_fract_y
_atom_site_fract_z
Dy1 Dy 0.000 0.000 0.201
Er1 Er 0.500 0.500 0.500
Pd1 Pd 0.500 0.500 0.000
# Polymorph energy (0 for the lowest one): 0.29 eV per formula unit
# Calculated total energy: -5.146 eV per atom
# ΔH_f (0 K): -0.406 eV/atom
# Mass density: 9.33 Mg/m³